Below is an optimized crystal structure of ZrSn3Bi, with properties calculated at the PBE-GGA level.

Cell: 5.583 5.583 5.583 Å, 90.00 90.00 90.00°
Space group Pm-3m (No. 221)
Inequivalent atoms, fractional coordinates:
1 Zr 0.000 0.000 0.000 x1
2 Sn 0.000 0.000 0.500 x3
3 Bi 0.500 0.500 0.500 x1

For the total energy, the calculation gives -4.475 eV per atom. As for the energy above the most stable polymorph in this dataset: 0 meV per atom. The volume is 174.02 Å³/cell. Its calculated formation energy is 2.06 eV/f.u.

***

Below is an optimized crystal structure of Zr5SnBi2, with properties calculated at the PBE-GGA level.

Cell: 7.614 9.906 6.249 Å, 90.00 127.53 90.00°
Space group Cm (No. 8)
Inequivalent atoms, fractional coordinates:
1 Zr 0.000 0.000 0.000 x2
2 Zr 0.016 0.500 0.460 x2
3 Zr 0.055 0.000 0.538 x2
4 Zr 0.286 0.230 0.999 x4
5 Sn 0.080 0.500 0.999 x2
6 Bi 0.281 0.250 0.499 x4

For the total energy, the calculation gives -7.063 eV per atom. As for the energy above the most stable polymorph in this dataset: 76 meV per atom. The volume is 373.80 Å³/cell. Its calculated formation energy is -2.00 eV/f.u.

***

Below is an optimized crystal structure of Zr2SnBi2, with properties calculated at the PBE-GGA level.

Cell: 7.960 7.960 4.080 Å, 90.00 90.00 90.00°
Space group P4/mbm (No. 127)
Inequivalent atoms, fractional coordinates:
1 Zr 0.148 0.352 0.000 x4
2 Sn 0.000 0.000 0.000 x2
3 Bi 0.152 0.652 0.500 x4

For the total energy, the calculation gives -6.044 eV per atom. As for the energy above the most stable polymorph in this dataset: 0 meV per atom. The volume is 258.53 Å³/cell. Its calculated formation energy is -1.36 eV/f.u.

***

Below is an optimized crystal structure of ZrSnBi, with properties calculated at the PBE-GGA level.

Cell: 4.124 4.124 8.968 Å, 90.00 90.00 90.00°
Space group P4/nmm (No. 129, origin choice 2)
Inequivalent atoms, fractional coordinates:
1 Zr 0.250 0.250 0.241 x2
2 Sn 0.250 0.750 0.500 x2
3 Bi 0.250 0.250 0.881 x2

For the total energy, the calculation gives -5.827 eV per atom. As for the energy above the most stable polymorph in this dataset: 0 meV per atom. The volume is 152.54 Å³/cell. Its calculated formation energy is -1.05 eV/f.u.

***

Below is an optimized crystal structure of ZrSnBi, with properties calculated at the PBE-GGA level.

Cell: 5.2864 5.2864 3.2208 Å, 90.00 90.00 120.00°
Space group P3m1 (No. 156)
Inequivalent atoms, fractional coordinates:
1 Zr 0.0000 0.0000 0.0000 x1
2 Sn 0.6667 0.3333 0.0687 x1
3 Bi 0.3333 0.6667 0.5107 x1

For the total energy, the calculation gives -5.472 eV per atom. As for the energy above the most stable polymorph in this dataset: 355 meV per atom. The volume is 77.95 Å³/cell. Its calculated formation energy is 0.02 eV/f.u.

***

Below is an optimized crystal structure of Zr4SnBi, with properties calculated at the PBE-GGA level.

Cell: 5.863 7.651 7.757 Å, 65.11 78.79 80.43°
Space group P-1 (No. 2)
Inequivalent atoms, fractional coordinates:
1 Zr 0.076 0.441 0.328 x2
2 Zr 0.228 0.154 0.767 x2
3 Zr 0.266 0.883 0.198 x2
4 Zr 0.395 0.353 0.976 x2
5 Sn 0.111 0.739 0.925 x2
6 Bi 0.000 0.000 0.500 x1
7 Bi 0.500 0.500 0.500 x1

For the total energy, the calculation gives -7.109 eV per atom. As for the energy above the most stable polymorph in this dataset: 0 meV per atom. The volume is 308.20 Å³/cell. Its calculated formation energy is -0.58 eV/f.u.